[1]
14
Lattice="4.2603 2.4597 7.1373 -4.2603 2.4597 7.1373 0.0000 -4.9194 7.1373" Properties=species:S:1:pos:R:3 comment="RbSmTm4Se8 (PBE, optimized geometry)" space_group="R3m, No. 160" formation_energy_uncorrected_ev_per_atom=-1.696 pbc="T T T"
Rb 0.0000 0.0000 0.0000
Sm 0.0000 0.0000 13.6320
Tm -2.2042 -1.2726 9.8998
Tm 0.0000 0.0000 5.4893
Tm 2.2042 -1.2726 9.8998
Tm 0.0000 2.5452 9.8998
Se 0.0000 -2.3446 11.6402
Se -2.0305 1.1723 11.6402
Se 0.0000 0.0000 8.3036
Se -1.8673 -1.0781 15.4927
Se 2.0305 1.1723 11.6402
Se 0.0000 0.0000 18.4251
Se 1.8673 -1.0781 15.4927
Se 0.0000 2.1561 15.4927

[2]
5
Lattice="5.7514 0.0000 0.0000 0.0000 5.7514 0.0000 0.0000 0.0000 5.7514" Properties=species:S:1:pos:R:3 comment="BaCu3B (PBE, optimized geometry)" space_group="Pm-3m, No. 221" relative_energy_ev_per_atom=2.058 ef_ev_per_atom=2.261 pbc="T T T"
Ba 0.0000 0.0000 0.0000
Cu 0.0000 0.0000 2.8757
Cu 0.0000 2.8757 0.0000
Cu 2.8757 0.0000 0.0000
B 2.8757 2.8757 2.8757

| no. | D(E_F) (states/eV per atom) | magnetic moment (μB per formula unit) | final energy (eV/f.u.) |
| --- | --- | --- | --- |
| 1 | 0.00 | 0.00 | -75.19 |
| 2 | 0.18 | 0.00 | -9.58 |